The following is a PBE+U calculation of a relaxed structure of Sr3FeTc2O9, from Alexandria via LeMat-Bulk.

```
data_Sr3FeTc2O9
_cell_length_a 5.6208
_cell_length_b 5.6208
_cell_length_c 6.8765
_cell_angle_alpha 90.00
_cell_angle_beta 90.00
_cell_angle_gamma 120.00
_space_group_name_H-M_alt 'P -3 m 1'
_space_group_IT_number 164
_space_group_name_Hall '-P 3 2"'
loop_
_atom_site_label
_atom_site_fract_x
_atom_site_fract_y
_atom_site_fract_z
Sr1 0.0000 0.0000 0.0000
Sr2 0.3333 0.6667 0.6497
Fe1 0.0000 0.0000 0.5000
Tc1 0.3333 0.6667 0.1598
O1 0.0000 0.5000 0.0000
O2 0.1688 0.3376 0.3301
```

Properties
density	5.8	Mg/m³
total magnetic moment	5.4	Bohr magnetons per cell
raw total energy	-7.17	eV per atom